Rb6HgBr after structural relaxation. Source: the Alexandria database, functional PBE-GGA.

The space group is P-31c (No. 163) and the conventional cell measures 8.7804, 8.7804 and 16.6943 Å, with angles of 90.00, 90.00 and 120.00 degrees. The distinct sites, in fractional coordinates, are Rb at (0.0071, 0.3490, 0.1270), Hg at (0.0000, 0.0000, 0.0000) and Br at (0.3333, 0.6667, 0.2500).

The raw formation energy is -0.44 eV per atom. The calculated volume comes out at 1115 Å³/cell.

***

Li2CrPbCl6 after structural relaxation. Source: the Alexandria database, functional PBE-GGA.

The space group is P1 (No. 1) and the conventional cell measures 6.578, 6.612 and 6.950 Å, with angles of 114.82, 90.14 and 114.93 degrees. The distinct sites, in fractional coordinates, are Li at (0.000, 0.000, 0.000), Li at (0.476, 0.019, 0.483), Cr at (0.789, 0.593, 0.383), Pb at (0.269, 0.559, 0.861), Cl at (0.003, 0.411, 0.157), Cl at (0.173, 0.035, 0.678), Cl at (0.345, 0.047, 0.173), Cl at (0.575, 0.772, 0.611), Cl at (0.711, 0.743, 0.146) and Cl at (0.824, 0.423, 0.618).

The raw formation energy is -1.32 eV per atom. The calculated volume comes out at 243 Å³/cell.

***

Mg3H3Ir after structural relaxation. Source: the Alexandria database, functional PBE-GGA.

The space group is P1 (No. 1) and the conventional cell measures 4.842, 4.876 and 5.173 Å, with angles of 91.50, 104.29 and 119.06 degrees. The distinct sites, in fractional coordinates, are Mg at (0.000, 0.000, 0.000), Mg at (0.304, 0.600, 0.490), Mg at (0.660, 0.290, 0.554), H at (0.291, 0.974, 0.739), H at (0.648, 0.940, 0.266), H at (0.878, 0.623, 0.275) and Ir at (0.966, 0.941, 0.492).

The value obtained for the total DFT energy (no corrections) is -25.79 eV per cell. The calculated volume comes out at 102 Å³/cell.

***

Sc2OsO4 after structural relaxation. Source: the Alexandria database, functional PBE-GGA.

The space group is I4/mmm (No. 139) and the conventional cell measures 3.979, 3.979 and 10.895 Å, with angles of 90.00, 90.00 and 90.00 degrees. The distinct sites, in fractional coordinates, are Sc at (0.000, 0.000, 0.138), Os at (0.000, 0.000, 0.500), O at (0.000, 0.000, 0.312) and O at (0.000, 0.500, 0.000).

The raw formation energy is -1.78 eV per atom. The calculated volume comes out at 173 Å³/cell.

***

ZnSi2Cl after structural relaxation. Source: the Alexandria database, functional PBE-GGA.

The space group is Pmmm (No. 47) and the conventional cell measures 2.993, 4.752 and 4.770 Å, with angles of 90.00, 90.00 and 90.00 degrees. The distinct sites, in fractional coordinates, are Zn at (0.000, 0.000, 0.000), Si at (0.000, 0.500, 0.500), Si at (0.500, 0.000, 0.500) and Cl at (0.500, 0.500, 0.000).

The raw formation energy is 0.35 eV per atom. The calculated volume comes out at 68 Å³/cell.

***

LuFe4Cu after structural relaxation. Source: the Alexandria database, functional PBE-GGA.

The space group is F-43m (No. 216) and the conventional cell measures 6.946, 6.946 and 6.946 Å, with angles of 90.00, 90.00 and 90.00 degrees. The distinct sites, in fractional coordinates, are Lu at (0.000, 0.000, 0.000), Fe at (0.125, 0.125, 0.625) and Cu at (0.250, 0.250, 0.250).

The value obtained for the total DFT energy (no corrections) is -169.54 eV per cell. The calculated volume comes out at 335 Å³/cell.

***

Dy2Zn2SiNi5 after structural relaxation. Source: the Alexandria database, functional PBE-GGA.

The space group is P4/mbm (No. 127) and the conventional cell measures 9.631, 9.631 and 3.203 Å, with angles of 90.00, 90.00 and 90.00 degrees. The distinct sites, in fractional coordinates, are Dy at (0.174, 0.326, 0.000), Zn at (0.127, 0.627, 0.000), Si at (0.000, 0.000, 0.000), Ni at (0.000, 0.500, 0.500) and Ni at (0.049, 0.814, 0.500).

The raw formation energy is -0.31 eV per atom. The calculated volume comes out at 297 Å³/cell.

***

Mg2SbTe after structural relaxation. Source: the Alexandria database, functional PBE-GGA.

The space group is R3m (No. 160, hexagonal axes) and the conventional cell measures 3.4601, 3.4601 and 32.6556 Å, with angles of 90.00, 90.00 and 120.00 degrees. The distinct sites, in fractional coordinates, are Mg at (0.0000, 0.0000, 0.0000), Mg at (0.0000, 0.0000, 0.2554), Sb at (0.0000, 0.0000, 0.5200) and Te at (0.0000, 0.0000, 0.7330).

The raw formation energy is -0.03 eV per atom. The calculated volume comes out at 339 Å³/cell.

***

CaPm2ReO8 after structural relaxation. Source: the Alexandria database, functional PBE-GGA.

The space group is Cmmm (No. 65) and the conventional cell measures 7.209, 7.306 and 7.073 Å, with angles of 90.00, 90.00 and 90.00 degrees. The distinct sites, in fractional coordinates, are Ca at (0.000, 0.000, 0.000), Pm at (0.000, 0.500, 0.249), Re at (0.000, 0.000, 0.500), O at (0.000, 0.179, 0.306), O at (0.191, 0.500, 0.000) and O at (0.235, 0.500, 0.500).

The raw formation energy is -2.42 eV per atom. The calculated volume comes out at 373 Å³/cell.

***

PmHo10Er4 after structural relaxation. Source: the Alexandria database, functional PBE-GGA.

The space group is I4/m (No. 87) and the conventional cell measures 12.074, 12.074 and 7.632 Å, with angles of 90.00, 90.00 and 90.00 degrees. The distinct sites, in fractional coordinates, are Pm at (0.000, 0.000, 0.000), Ho at (0.000, 0.500, 0.250), Ho at (0.101, 0.201, 0.252) and Er at (0.100, 0.699, 0.500).

The value obtained for the total DFT energy (no corrections) is -115.62 eV per cell. The calculated volume comes out at 1113 Å³/cell.

***

HoTm3Sc4 after structural relaxation. Source: the Alexandria database, functional PBE-GGA.

The space group is Pmmm (No. 47) and the conventional cell measures 3.723, 5.420 and 10.840 Å, with angles of 90.00, 90.00 and 90.00 degrees. The distinct sites, in fractional coordinates, are Ho at (0.000, 0.000, 0.000), Tm at (0.000, 0.000, 0.500), Tm at (0.000, 0.500, 0.250), Sc at (0.500, 0.000, 0.251), Sc at (0.500, 0.500, 0.000) and Sc at (0.500, 0.500, 0.500).

The value obtained for the total DFT energy (no corrections) is -42.52 eV per cell. The calculated volume comes out at 219 Å³/cell.

***

Ir2PtCl after structural relaxation. Source: the Alexandria database, functional PBE-GGA.

The space group is R3m (No. 160, hexagonal axes) and the conventional cell measures 2.8502, 2.8502 and 27.6507 Å, with angles of 90.00, 90.00 and 120.00 degrees. The distinct sites, in fractional coordinates, are Ir at (0.0000, 0.0000, 0.0000), Ir at (0.0000, 0.0000, 0.2597), Pt at (0.0000, 0.0000, 0.5112) and Cl at (0.0000, 0.0000, 0.7397).

The raw formation energy is 0.39 eV per atom. The calculated volume comes out at 195 Å³/cell.